An optimized crystal structure of RbNa2TbBr6. Source: Alexandria, functional GGA-PBE.

Lattice parameters (Å, degrees): 7.6703 7.6703 21.0357 90.00 90.00 120.00
Space group R3 (No. 146, hexagonal axes)
Inequivalent atoms, fractional coordinates:
Rb1 0.0000 0.0000 0.0000 x3
Na1 0.0000 0.0000 0.1993 x3
Na2 0.0000 0.0000 0.7151 x3
Tb1 0.0000 0.0000 0.5213 x3
Br1 0.0196 0.3473 0.1183 x9
Br2 0.0859 0.7283 0.2753 x9

**Formation energy from raw total energies**: -1730.2 meV/atom
**Crystal system**: trigonal
**Uncorrected energy**: -3.5575 eV/atom